(1)
# Cs2TlPdBr6 (PBE-GGA, relaxed)
# DFT total energy ... -2.9505 eV per atom
data_Cs2TlPdBr6
_chemical_formula_sum 'Cs4 Tl2 Pd2 Br12'
_symmetry_space_group_name_H-M 'P 1 21/c 1'
_symmetry_Int_Tables_number 14
_cell_length_a 7.866
_cell_length_b 7.954
_cell_length_c 13.690
_cell_angle_alpha 90.00
_cell_angle_beta 124.83
_cell_angle_gamma 90.00
loop_
_symmetry_equiv_pos_as_xyz
'x,y,z'
'-x,-y,-z'
'-x,y+1/2,-z+1/2'
'x,-y+1/2,z+1/2'
loop_
_atom_site_label
_atom_site_fract_x
_atom_site_fract_y
_atom_site_fract_z
Cs1 0.247 0.009 0.250
Tl1 0.000 0.000 0.500
Pd1 0.500 0.000 0.000
Br1 0.251 0.220 0.993
Br2 0.274 0.742 0.497
Br3 0.278 0.506 0.268

(2)
# Cs2TlPdBr6 (PBE-GGA, relaxed)
# DFT total energy ... -2.9514 eV per atom
data_Cs2TlPdBr6
_chemical_formula_sum 'Cs6 Tl3 Pd3 Br18'
_symmetry_space_group_name_H-M 'R -3'
_symmetry_Int_Tables_number 148
_symmetry_space_group_name_Hall '-R 3'
_cell_length_a 7.9421
_cell_length_b 7.9421
_cell_length_c 19.3707
_cell_angle_alpha 90.00
_cell_angle_beta 90.00
_cell_angle_gamma 120.00
loop_
_atom_site_label
_atom_site_fract_x
_atom_site_fract_y
_atom_site_fract_z
Cs1 0.0000 0.0000 0.2503
Tl1 0.0000 0.0000 0.5000
Pd1 0.0000 0.0000 0.0000
Br1 0.0249 0.5018 0.7447

(3)
# Cs3PrBr6 (PBE-GGA, relaxed)
# Energy relative to the lowest polymorph listed for this composition ... 0.56 eV per formula unit
# DFT total energy ... -3.5530 eV per atom
data_Cs3PrBr6
_chemical_formula_sum 'Cs12 Pr4 Br24'
_symmetry_space_group_name_H-M 'F m -3 m'
_symmetry_Int_Tables_number 225
_symmetry_space_group_name_Hall '-F 4 2 3'
_cell_length_a 12.530
_cell_length_b 12.530
_cell_length_c 12.530
_cell_angle_alpha 90.00
_cell_angle_beta 90.00
_cell_angle_gamma 90.00
loop_
_atom_site_label
_atom_site_fract_x
_atom_site_fract_y
_atom_site_fract_z
Cs1 0.000 0.000 0.000
Cs2 0.250 0.250 0.250
Pr1 0.000 0.000 0.500
Br1 0.000 0.000 0.269

(4)
# Cs3PrBr6 (PBE-GGA, relaxed)
# Energy relative to the lowest polymorph listed for this composition ... 0.00 eV per formula unit
# DFT total energy ... -3.6093 eV per atom
data_Cs3PrBr6
_chemical_formula_sum 'Cs6 Pr2 Br12'
_symmetry_space_group_name_H-M 'P 1 21/c 1'
_symmetry_Int_Tables_number 14
_cell_length_a 8.501
_cell_length_b 9.020
_cell_length_c 14.577
_cell_angle_alpha 90.00
_cell_angle_beta 124.18
_cell_angle_gamma 90.00
loop_
_symmetry_equiv_pos_as_xyz
'x,y,z'
'-x,-y,-z'
'-x,y+1/2,-z+1/2'
'x,-y+1/2,z+1/2'
loop_
_atom_site_label
_atom_site_fract_x
_atom_site_fract_y
_atom_site_fract_z
Cs1 0.000 0.000 0.000
Cs2 0.216 0.070 0.743
Pr1 0.500 0.000 0.500
Br1 0.172 0.177 0.449
Br2 0.261 0.732 0.426
Br3 0.399 0.054 0.275

(5)
# Cs2PrTlBr6 (PBE-GGA, relaxed)
# DFT total energy ... -3.5438 eV per atom
data_Cs2PrTlBr6
_chemical_formula_sum 'Cs8 Pr4 Tl4 Br24'
_symmetry_space_group_name_H-M 'F m -3 m'
_symmetry_Int_Tables_number 225
_symmetry_space_group_name_Hall '-F 4 2 3'
_cell_length_a 12.128
_cell_length_b 12.128
_cell_length_c 12.128
_cell_angle_alpha 90.00
_cell_angle_beta 90.00
_cell_angle_gamma 90.00
loop_
_atom_site_label
_atom_site_fract_x
_atom_site_fract_y
_atom_site_fract_z
Cs1 0.250 0.250 0.250
Pr1 0.000 0.000 0.000
Tl1 0.000 0.000 0.500
Br1 0.000 0.000 0.239

(6)
# CsPt2Br5 (PBE-GGA, relaxed)
# DFT total energy ... -3.1150 eV per atom
data_CsPt2Br5
_chemical_formula_sum 'Cs2 Pt4 Br10'
_symmetry_space_group_name_H-M 'P 1 21/m 1'
_symmetry_Int_Tables_number 11
_cell_length_a 9.317
_cell_length_b 4.719
_cell_length_c 11.966
_cell_angle_alpha 90.00
_cell_angle_beta 104.37
_cell_angle_gamma 90.00
loop_
_symmetry_equiv_pos_as_xyz
'x,y,z'
'-x,-y,-z'
'-x,y+1/2,-z'
'x,-y+1/2,z'
loop_
_atom_site_label
_atom_site_fract_x
_atom_site_fract_y
_atom_site_fract_z
Cs1 0.019 0.250 0.252
Pt1 0.372 0.250 0.130
Pt2 0.414 0.250 0.620
Br1 0.143 0.250 0.583
Br2 0.149 0.250 0.973
Br3 0.323 0.750 0.380
Br4 0.416 0.750 0.083
Br5 0.418 0.750 0.696

Repeat the second record exactly.
# Cs2TlPdBr6 (PBE-GGA, relaxed)
# DFT total energy ... -2.9514 eV per atom
data_Cs2TlPdBr6
_chemical_formula_sum 'Cs6 Tl3 Pd3 Br18'
_symmetry_space_group_name_H-M 'R -3'
_symmetry_Int_Tables_number 148
_symmetry_space_group_name_Hall '-R 3'
_cell_length_a 7.9421
_cell_length_b 7.9421
_cell_length_c 19.3707
_cell_angle_alpha 90.00
_cell_angle_beta 90.00
_cell_angle_gamma 120.00
loop_
_atom_site_label
_atom_site_fract_x
_atom_site_fract_y
_atom_site_fract_z
Cs1 0.0000 0.0000 0.2503
Tl1 0.0000 0.0000 0.5000
Pd1 0.0000 0.0000 0.0000
Br1 0.0249 0.5018 0.7447

Which of these has the lowest DFT total energy?
number 4

Please write out number 2 again, unchanged.
# Cs2TlPdBr6 (PBE-GGA, relaxed)
# DFT total energy ... -2.9514 eV per atom
data_Cs2TlPdBr6
_chemical_formula_sum 'Cs6 Tl3 Pd3 Br18'
_symmetry_space_group_name_H-M 'R -3'
_symmetry_Int_Tables_number 148
_symmetry_space_group_name_Hall '-R 3'
_cell_length_a 7.9421
_cell_length_b 7.9421
_cell_length_c 19.3707
_cell_angle_alpha 90.00
_cell_angle_beta 90.00
_cell_angle_gamma 120.00
loop_
_atom_site_label
_atom_site_fract_x
_atom_site_fract_y
_atom_site_fract_z
Cs1 0.0000 0.0000 0.2503
Tl1 0.0000 0.0000 0.5000
Pd1 0.0000 0.0000 0.0000
Br1 0.0249 0.5018 0.7447